Density functional theory data (PBE) for a relaxed CdH2PdPt crystal.

Properties
Energy   -39.0 eV per cell
Theoretical density   12.0 g/cm3
N(E_F)   0.9 states/eV/cell

Cell: 3.3768 3.3768 10.1181 Å, 90.00 90.00 90.00°
Space group I4mm (No. 107)
Unique sites:
Cd 0.0000 0.0000 0.0000 [2 per cell]
H 0.0000 0.5000 0.2361 [4 per cell]
Pd 0.0000 0.0000 0.3486 [2 per cell]
Pt 0.0000 0.0000 0.6625 [2 per cell]